[1]
# NaCo2Sn2

A relaxed NaCo2Sn2 crystal (PBE-GGA, Alexandria via LeMat-Bulk).

a b c (Å): 4.5292 4.5292 9.4374
angles (deg): 90.00 90.00 90.00
Last column: nearest neighbours and their distance in Å.
Space group I4/mmm (No. 139)
Unique sites:
Na  0.0000  0.0000  0.0000 [2 per cell]  8 Sn 3.27, 10 Co 3.38-3.64
Co  0.0000  0.0000  0.3852 [4 per cell]  1 Co 2.17
Sn  0.0000  0.5000  0.2500 [4 per cell]  4 Co 2.60

## Properties
Offset from the most stable computed form = 0.138 eV per atom
Total DFT energy (no corrections) = -22.71 eV per formula unit
Energy of formation from the pure elements = 0.165 eV/atom

[2]
# NaCoSn2

A relaxed NaCoSn2 crystal (PBE-GGA, Alexandria via LeMat-Bulk).

a b c (Å): 5.9116 5.9116 14.7813
angles (deg): 90.00 90.00 90.00
Last column: nearest neighbours and their distance in Å.
Space group I-42d (No. 122)
Unique sites:
Na  0.0000  0.0000  0.0000 [4 per cell]  4 Sn 3.46
Co  0.0000  0.0000  0.5000 [4 per cell]  4 Sn 2.41
Sn  0.0738  0.2500  0.6250 [8 per cell]  2 Co 2.41

## Properties
Total DFT energy (no corrections) = -15.37 eV per formula unit
Energy of formation from the pure elements = 0.264 eV/atom

[3]
# Na3CoSn

A relaxed Na3CoSn crystal (PBE-GGA, Alexandria via LeMat-Bulk).

a b c (Å): 5.2530 5.2530 5.2530
angles (deg): 90.00 90.00 90.00
Last column: nearest neighbours and their distance in Å.
Space group Pm-3m (No. 221)
Unique sites:
Na  0.0000  0.0000  0.5000 [3 per cell]  2 Co 2.63
Co  0.0000  0.0000  0.0000 [1 per cell]  6 Na 2.63
Sn  0.5000  0.5000  0.5000 [1 per cell]  12 Na 3.71

## Properties
Offset from the most stable computed form = 0.000 eV per atom
Total DFT energy (no corrections) = -10.94 eV per formula unit
Energy of formation from the pure elements = 0.825 eV/atom

[4]
# NaCoSn2

A relaxed NaCoSn2 crystal (PBE-GGA, Alexandria via LeMat-Bulk).

a b c (Å): 3.3447 3.3447 27.2159
angles (deg): 90.00 90.00 120.00
Last column: nearest neighbours and their distance in Å.
Space group R-3m (No. 166, hexagonal axes)
Unique sites:
Na  0.0000  0.0000  0.0000 [3 per cell]  6 Sn 3.33, 6 Na 3.34
Co  0.0000  0.0000  0.5000 [3 per cell]  6 Sn 2.66
Sn  0.0000  0.0000  0.2337 [6 per cell]  3 Co 2.66

## Properties
Total DFT energy (no corrections) = -16.31 eV per formula unit
Energy of formation from the pure elements = 0.031 eV/atom

[5]
# NaCoSn2

A relaxed NaCoSn2 crystal (PBE-GGA, Alexandria via LeMat-Bulk).

a b c (Å): 4.2208 4.2208 18.1383
angles (deg): 90.00 90.00 120.00
Last column: nearest neighbours and their distance in Å.
Space group R3m (No. 160, hexagonal axes)
Unique sites:
Na  0.0000  0.0000  0.0000 [3 per cell]  1 Co 3.13, 6 Sn 3.16-3.23
Co  0.0000  0.0000  0.8272 [3 per cell]  6 Sn 2.60-2.64
Sn  0.0000  0.0000  0.2164 [3 per cell]  3 Co 2.64
Sn  0.0000  0.0000  0.4440 [3 per cell]  3 Co 2.60

## Properties
Total DFT energy (no corrections) = -16.49 eV per formula unit
Energy of formation from the pure elements = -0.016 eV/atom

[6]
# NaCo2Sn2

A relaxed NaCo2Sn2 crystal (PBE-GGA, Alexandria via LeMat-Bulk).

a b c (Å): 7.5823 7.5823 2.9564
angles (deg): 90.00 90.00 90.00
Last column: nearest neighbours and their distance in Å.
Space group P4/mbm (No. 127)
Unique sites:
Na  0.0000  0.0000  0.0000 [2 per cell]  2 Na 2.96, 4 Co 2.96, 8 Sn 3.21
Co  0.1333  0.3667  0.0000 [4 per cell]  6 Sn 2.66-2.68, 3 Co 2.86-2.96, 2 Na 2.96
Sn  0.1600  0.6600  0.5000 [4 per cell]  6 Co 2.66-2.68, 2 Sn 2.96

## Properties
Offset from the most stable computed form = 0.000 eV per atom
Total DFT energy (no corrections) = -23.40 eV per formula unit
Energy of formation from the pure elements = 0.027 eV/atom

[7]
# NaCoSn3

A relaxed NaCoSn3 crystal (PBE-GGA, Alexandria via LeMat-Bulk).

a b c (Å): 5.3068 5.3068 5.3068
angles (deg): 90.00 90.00 90.00
Last column: nearest neighbours and their distance in Å.
Space group Pm-3m (No. 221)
Unique sites:
Na  0.0000  0.0000  0.0000 [1 per cell]  6 Sn 2.65
Co  0.5000  0.5000  0.5000 [1 per cell]  12 Sn 3.75
Sn  0.0000  0.0000  0.5000 [3 per cell]  2 Na 2.65

## Properties
Offset from the most stable computed form = 1.346 eV per atom
Total DFT energy (no corrections) = -14.13 eV per formula unit
Energy of formation from the pure elements = 1.260 eV/atom

[8]
# Na2SrCoSn

A relaxed Na2SrCoSn crystal (PBE-GGA, Alexandria via LeMat-Bulk).

a b c (Å): 5.6989 5.6989 4.9611
angles (deg): 90.00 90.00 90.00
Last column: nearest neighbours and their distance in Å.
Space group P4/mmm (No. 123)
Unique sites:
Na  0.0000  0.5000  0.0000 [2 per cell]  2 Sn 2.85
Sr  0.0000  0.0000  0.5000 [1 per cell]  8 Na 3.78, 4 Co 4.03
Co  0.5000  0.5000  0.5000 [1 per cell]  2 Sn 2.48
Sn  0.5000  0.5000  0.0000 [1 per cell]  2 Co 2.48

## Properties
Total DFT energy (no corrections) = -13.77 eV per formula unit
Energy of formation from the pure elements = 0.332 eV/atom

> The highest total DFT energy (no corrections) belongs to which entry?

Na3CoSn

> What is the energy of formation from the pure elements in the fifth record?

-0.016 eV/atom